[1]
Eu2TlBi GGA-PBE optimized geometry; energy = -7.278 eV per atom; symmetry = No. 225; polymorph energy (0 for the lowest one) = 54.7 meV per atom
1.0
0.000 4.021 4.021
4.021 0.000 4.021
4.021 4.021 0.000
Eu Tl Bi
2 1 1
direct
0.250 0.250 0.250 Eu
0.750 0.750 0.750 Eu
0.000 0.000 0.000 Tl
0.500 0.500 0.500 Bi


[2]
Eu2TlBi GGA-PBE optimized geometry; energy = -7.332 eV per atom; symmetry = No. 123; polymorph energy (0 for the lowest one) = 0.0 meV per atom
1.0
5.354 0.000 0.000
0.000 5.354 0.000
0.000 0.000 4.487
Eu Tl Bi
2 1 1
direct
0.000 0.500 0.000 Eu
0.500 0.000 0.000 Eu
0.000 0.000 0.500 Tl
0.500 0.500 0.500 Bi


[3]
EuTl4Bi GGA-PBE optimized geometry; energy = -4.036 eV per atom; symmetry = No. 216
1.0
0.000 4.572 4.572
4.572 0.000 4.572
4.572 4.572 0.000
Eu Tl Bi
1 4 1
direct
0.000 0.000 0.000 Eu
0.125 0.625 0.625 Tl
0.625 0.125 0.625 Tl
0.625 0.625 0.125 Tl
0.625 0.625 0.625 Tl
0.250 0.250 0.250 Bi


[4]
EuTmTlBi GGA-PBE optimized geometry; energy = -5.683 eV per atom; symmetry = No. 216
1.0
0.000 3.907 3.907
3.907 0.000 3.907
3.907 3.907 0.000
Eu Tm Tl Bi
1 1 1 1
direct
0.000 0.000 0.000 Eu
0.500 0.500 0.500 Tm
0.750 0.750 0.750 Tl
0.250 0.250 0.250 Bi


| no. | E_form (eV/atom) | V (A^3/atom) |
| --- | --- | --- |
| 1 | -0.579 | 32.5 |
| 2 | -0.633 | 32.2 |
| 3 | -0.099 | 31.9 |
| 4 | -0.435 | 29.8 |